# Pr3YEr6 (GGA-PBE, optimized geometry)
# **Energy of formation from the pure elements**: 0.129 eV/atom
# **ΔE to the lowest computed polymorph**: 0.0 meV/atom
data_Pr3YEr6
_chemical_formula_sum 'Pr12 Y4 Er24'
_symmetry_space_group_name_H-M 'C m c 21'
_symmetry_Int_Tables_number 36
_cell_length_a 9.426
_cell_length_b 15.596
_cell_length_c 8.924
_cell_angle_alpha 90.00
_cell_angle_beta 90.00
_cell_angle_gamma 90.00
loop_
_symmetry_equiv_pos_as_xyz
'x,y,z'
'-x,-y,z+1/2'
'-x,y,z'
'x,-y,z+1/2'
'x+1/2,y+1/2,z'
'-x+1/2,-y+1/2,z+1/2'
'-x+1/2,y+1/2,z'
'x+1/2,-y+1/2,z+1/2'
loop_
_atom_site_label
_atom_site_fract_x
_atom_site_fract_y
_atom_site_fract_z
Pr1 0.000 0.050 0.000
Pr2 0.245 0.439 0.818
Y1 0.000 0.223 0.249
Er1 0.000 0.280 0.880
Er2 0.000 0.446 0.133
Er3 0.174 0.354 0.487
Er4 0.178 0.153 0.642

# PrYEr (GGA-PBE, optimized geometry)
# **Energy of formation from the pure elements**: 0.026 eV/atom
# **ΔE to the lowest computed polymorph**: 5.1 meV/atom
data_PrYEr
_chemical_formula_sum 'Pr2 Y2 Er2'
_symmetry_space_group_name_H-M 'I 4 m m'
_symmetry_Int_Tables_number 107
_symmetry_space_group_name_Hall 'I 4 -2'
_cell_length_a 3.603
_cell_length_b 3.603
_cell_length_c 15.268
_cell_angle_alpha 90.00
_cell_angle_beta 90.00
_cell_angle_gamma 90.00
loop_
_atom_site_label
_atom_site_fract_x
_atom_site_fract_y
_atom_site_fract_z
Pr1 0.000 0.000 0.000
Y1 0.000 0.000 0.670
Er1 0.000 0.000 0.333

# Pr4Y6Er (GGA-PBE, optimized geometry)
# **Energy of formation from the pure elements**: 0.163 eV/atom
# **ΔE to the lowest computed polymorph**: 47.7 meV/atom
data_Pr4Y6Er
_chemical_formula_sum 'Pr4 Y6 Er1'
_symmetry_space_group_name_H-M 'P -6 m 2'
_symmetry_Int_Tables_number 187
_symmetry_space_group_name_Hall 'P -6 2'
_cell_length_a 11.0446
_cell_length_b 11.0446
_cell_length_c 3.6080
_cell_angle_alpha 90.00
_cell_angle_beta 90.00
_cell_angle_gamma 120.00
loop_
_atom_site_label
_atom_site_fract_x
_atom_site_fract_y
_atom_site_fract_z
Pr1 0.0000 0.0000 0.0000
Pr2 0.0146 0.5073 0.5000
Y1 0.1509 0.3017 0.5000
Y2 0.3709 0.1855 0.0000
Er1 0.3333 0.6667 0.0000